TbGa2SiNi4 | Alexandria via LeMat-Bulk | PBE | relaxed; magnetic moment = 0.000 μB/atom; E_form (uncorrected) = -4.02 eV per formula unit; space group = R-3m (166); Fermi-level density of states = 0.651 states/eV/atom
1.0
-3.035 -1.864 1.899
-1.663 -3.305 -1.614
3.834 -6.409 4.127
Tb Ga Si Ni
1 2 1 4
direct
0.000 0.000 0.000
0.754 0.754 0.738
0.246 0.246 0.262
0.500 0.500 0.500
0.409 0.409 0.774
0.862 0.862 0.414
0.138 0.138 0.586
0.591 0.591 0.226


TaBiO5 | Alexandria via LeMat-Bulk | PBE | relaxed; magnetic moment = 0.000 μB/atom; E_form (uncorrected) = -11.15 eV per formula unit; space group = P2_1/c (14)
1.0
9.724 0.000 0.000
0.000 5.543 0.056
0.000 4.416 8.099
Ta Bi O
4 4 20
direct
0.591 0.248 0.999
0.409 0.752 0.001
0.091 0.752 0.501
0.909 0.248 0.499
0.100 0.974 0.871
0.900 0.026 0.129
0.400 0.974 0.371
0.600 0.026 0.629
0.052 0.911 0.644
0.010 0.364 0.652
0.194 0.067 0.310
0.580 0.793 0.499
0.270 0.626 0.555
0.230 0.626 0.055
0.490 0.364 0.152
0.510 0.636 0.848
0.420 0.207 0.501
0.552 0.089 0.856
0.730 0.374 0.445
0.948 0.089 0.356
0.448 0.911 0.144
0.770 0.374 0.945
0.080 0.207 0.001
0.920 0.793 0.999
0.806 0.933 0.690
0.990 0.636 0.348
0.694 0.933 0.190
0.306 0.067 0.810


CuRe4P | Alexandria via LeMat-Bulk | PBE | relaxed; magnetic moment = 0.000 μB/atom; space group = F-43m (216); Fermi-level density of states = 0.779 states/eV/atom; calculated total energy = -53.805 eV per formula unit
1.0
4.442 -2.591 -0.602
3.425 -0.201 3.877
0.771 -4.442 2.545
Cu Re P
1 4 1
direct
0.750 0.750 0.750
0.875 0.375 0.375
0.375 0.375 0.875
0.375 0.875 0.375
0.375 0.375 0.375
0.000 0.000 0.000


Ba2Al3In4Hg | Alexandria via LeMat-Bulk | PBE | relaxed; magnetic moment = 0.000 μB/atom; space group = P-4m2 (115); Fermi-level density of states = 0.222 states/eV/atom; calculated total energy = -29.207 eV per formula unit
1.0
-1.630 3.280 3.225
-2.280 -3.548 2.456
9.562 -1.642 6.504
Ba Al In Hg
2 3 4 1
direct
0.500 0.000 0.251
0.000 0.500 0.749
0.000 0.000 0.500
0.500 0.000 0.869
0.000 0.500 0.131
0.500 0.500 0.000
0.000 0.000 0.000
0.500 0.000 0.634
0.000 0.500 0.366
0.500 0.500 0.500


Nb2Co3Os | Alexandria via LeMat-Bulk | PBE | relaxed; magnetic moment = 0.129 μB/atom; space group = R-3m (166); Fermi-level density of states = 1.503 states/eV/atom; calculated total energy = -53.607 eV per formula unit
1.0
-3.520 -0.548 -3.256
-0.167 -2.436 4.163
0.350 4.232 2.487
Nb Co Os
2 3 1
direct
0.754 0.377 0.131
0.246 0.623 0.869
0.500 0.500 0.500
0.000 0.000 0.500
0.500 0.000 0.500
0.000 0.000 0.000


Tb2YCu3 | Alexandria via LeMat-Bulk | PBE | relaxed; magnetic moment = 0.000 μB/atom; space group = P4/mmm (123); Fermi-level density of states = 0.464 states/eV/atom; calculated total energy = -29.474 eV per formula unit
1.0
3.478 0.000 0.000
0.000 3.478 0.000
0.000 0.000 10.469
Tb Y Cu
2 1 3
direct
0.500 0.500 0.833
0.500 0.500 0.167
0.500 0.500 0.500
0.000 0.000 0.000
0.000 0.000 0.667
0.000 0.000 0.333